MnCrHg2Cl | PBE-GGA | relaxed

Values from the calculation:
- E_form (uncorrected) (eV per atom) = 0.68
- calculated density (g/cm³) = 7.77
- V (Å³ per cell) = 116

a = 5.282 Å, b = 4.161 Å, c = 5.282 Å
α = 90.00°, β = 90.00°, γ = 90.00°
Each line ends with the local moment (μB).
Sites, in units of the cell vectors:
Cr (0.500, 0.500, 0.500)  4.25
Cl (0.000, 0.500, 0.000)  0.03
Mn (0.000, 0.000, 0.000)  -0.07
Hg (0.000, 0.000, 0.500)  0.01
Hg (0.500, 0.000, 0.000)  0.01

=====

CsPrSnSe3 | PBE-GGA | relaxed

Values from the calculation:
- E_form (uncorrected) (eV per atom) = -1.30
- calculated density (g/cm³) = 4.57
- V (Å³ per cell) = 457

a = 4.326 Å, b = 9.358 Å, c = 11.956 Å
α = 109.07°, β = 90.00°, γ = 90.00°
Sites, in units of the cell vectors:
Sn (0.250, 0.138, 0.566)
Sn (0.750, 0.862, 0.434)
Se (0.750, 0.412, 0.108)
Se (0.750, 0.337, 0.590)
Se (0.250, 0.663, 0.410)
Se (0.250, 0.115, 0.783)
Se (0.250, 0.588, 0.892)
Se (0.750, 0.885, 0.217)
Pr (0.750, 0.358, 0.850)
Pr (0.250, 0.642, 0.150)
Cs (0.250, 0.235, 0.271)
Cs (0.750, 0.765, 0.729)

=====

NaEr2C2N6 | PBE-GGA | relaxed

Values from the calculation:
- E_form (uncorrected) (eV per atom) = -0.39
- calculated density (g/cm³) = 4.67
- V (Å³ per cell) = 166

a = 6.218 Å, b = 5.827 Å, c = 6.139 Å
α = 113.66°, β = 90.01°, γ = 57.72°
Each line ends with the local moment (μB).
Sites, in units of the cell vectors:
Er (0.828, 0.344, 0.804)  0.02
Er (0.172, 0.656, 0.196)  0.02
C (0.176, 0.647, 0.738)  -0.01
C (0.824, 0.353, 0.262)  -0.01
N (0.915, 0.171, 0.369)  0.05
N (0.405, 0.551, 0.800)  0.14
N (0.045, 0.550, 0.799)  0.14
N (0.085, 0.829, 0.631)  0.05
N (0.955, 0.450, 0.201)  0.14
N (0.595, 0.449, 0.200)  0.14
Na (0.500, 0.000, 0.500)  0.00

=====

FeCoBr4 | PBE-GGA | relaxed

Values from the calculation:
- E_form (uncorrected) (eV per atom) = 1.41
- calculated density (g/cm³) = 4.35
- V (Å³ per cell) = 166

a = 6.167 Å, b = 6.167 Å, c = 6.167 Å
α = 60.00°, β = 60.00°, γ = 60.00°
Each line ends with the local moment (μB).
Sites, in units of the cell vectors:
Fe (0.000, 0.000, 0.000)  3.29
Br (0.375, 0.375, 0.875)  -0.13
Br (0.375, 0.875, 0.375)  -0.13
Br (0.375, 0.375, 0.375)  -0.13
Br (0.875, 0.375, 0.375)  -0.13
Co (0.750, 0.750, 0.750)  2.11

=====

Tb3WC3 | PBE-GGA | relaxed

Values from the calculation:
- calculated density (g/cm³) = 9.46
- V (Å³ per cell) = 245
- energy of formation from the pure elements (eV per atom) = -0.309

a = 5.204 Å, b = 6.911 Å, c = 6.911 Å
α = 100.27°, β = 90.00°, γ = 90.00°
Sites, in units of the cell vectors:
C (0.750, 0.123, 0.877)
C (0.250, 0.412, 0.174)
C (0.250, 0.826, 0.588)
C (0.750, 0.588, 0.826)
C (0.750, 0.174, 0.412)
C (0.250, 0.877, 0.123)
Tb (0.250, 0.169, 0.401)
Tb (0.750, 0.890, 0.110)
Tb (0.750, 0.401, 0.169)
Tb (0.250, 0.599, 0.831)
Tb (0.750, 0.831, 0.599)
Tb (0.250, 0.110, 0.890)
W (0.750, 0.309, 0.691)
W (0.250, 0.691, 0.309)

=====

Tc3PdF | PBE-GGA | relaxed

Values from the calculation:
- E_form (uncorrected) (eV per atom) = 0.81
- calculated density (g/cm³) = 9.75
- V (Å³ per cell) = 71

a = 4.149 Å, b = 4.149 Å, c = 4.149 Å
α = 90.00°, β = 90.00°, γ = 90.00°
Each line ends with the local moment (μB).
Sites, in units of the cell vectors:
Tc (0.500, 0.000, 0.000)  0.09
Tc (0.000, 0.500, 0.000)  0.21
Tc (0.000, 0.000, 0.500)  0.40
F (0.000, 0.000, 0.000)  0.02
Pd (0.500, 0.500, 0.500)  -0.01

=====

RbDy2C | PBE-GGA | relaxed

Values from the calculation:
- calculated density (g/cm³) = 5.64
- V (Å³ per cell) = 124
- energy of formation from the pure elements (eV per atom) = 0.030

a = 3.646 Å, b = 3.646 Å, c = 10.999 Å
α = 80.46°, β = 80.46°, γ = 60.00°
Each line ends with the local moment (μB).
Sites, in units of the cell vectors:
C (0.500, 0.500, 0.500)  -0.01
Rb (0.000, 0.000, 0.000)  0.01
Dy (0.126, 0.126, 0.623)  0.07
Dy (0.874, 0.874, 0.377)  0.07

=====

KCa2Y | PBE-GGA | relaxed

Values from the calculation:
- calculated density (g/cm³) = 2.04
- V (Å³ per cell) = 169
- energy of formation from the pure elements (eV per atom) = 0.317

a = 7.614 Å, b = 7.614 Å, c = 7.614 Å
α = 150.02°, β = 129.40°, γ = 59.94°
Each line ends with the local moment (μB).
Sites, in units of the cell vectors:
Y (0.242, 0.742, 0.500)  0.17
K (0.500, 0.500, 0.000)  0.01
Ca (0.754, 0.254, 0.500)  0.02
Ca (0.004, 0.004, 0.000)  0.03

=====

Al2AgMo | PBE-GGA | relaxed

Values from the calculation:
- calculated density (g/cm³) = 6.66
- V (Å³ per cell) = 64
- energy of formation from the pure elements (eV per atom) = -0.054

a = 2.801 Å, b = 2.801 Å, c = 8.618 Å
α = 90.00°, β = 90.00°, γ = 108.08°
Sites, in units of the cell vectors:
Ag (0.500, 0.500, 0.750)
Mo (0.500, 0.500, 0.250)
Al (0.000, 0.000, 0.011)
Al (0.000, 0.000, 0.489)

=====

Cs3Sr5Cl12 | PBE-GGA | relaxed

Values from the calculation:
- E_form (uncorrected) (eV per atom) = -2.19
- calculated density (g/cm³) = 2.56
- V (Å³ per cell) = 3275

a = 16.204 Å, b = 16.204 Å, c = 16.204 Å
α = 109.47°, β = 109.47°, γ = 109.47°
Sites, in units of the cell vectors:
Cl (0.582, 0.698, 0.675)
Cl (0.978, 0.594, 0.175)
Cl (0.594, 0.616, 0.418)
Cl (0.698, 0.582, 0.175)
Cl (0.325, 0.522, 0.406)
Cl (0.825, 0.906, 0.022)
Cl (0.302, 0.418, 0.825)
Cl (0.616, 0.022, 0.198)
Cl (0.906, 0.825, 0.522)
Cl (0.094, 0.175, 0.478)
Cl (0.884, 0.302, 0.478)
Cl (0.478, 0.802, 0.884)
Cl (0.478, 0.675, 0.094)
Cl (0.094, 0.918, 0.116)
Cl (0.675, 0.478, 0.594)
Cl (0.406, 0.384, 0.582)
Cl (0.175, 0.082, 0.698)
Cl (0.616, 0.594, 0.918)
Cl (0.116, 0.698, 0.522)
Cl (0.325, 0.802, 0.418)
Cl (0.082, 0.175, 0.198)
Cl (0.802, 0.478, 0.384)
Cl (0.906, 0.082, 0.884)
Cl (0.522, 0.325, 0.906)
Cl (0.384, 0.978, 0.802)
Cl (0.825, 0.918, 0.302)
Cl (0.175, 0.094, 0.978)
Cl (0.022, 0.406, 0.825)
Cl (0.582, 0.884, 0.406)
Cl (0.198, 0.522, 0.616)
Cl (0.022, 0.616, 0.698)
Cl (0.116, 0.418, 0.094)
Cl (0.406, 0.022, 0.325)
Cl (0.522, 0.198, 0.116)
Cl (0.918, 0.094, 0.616)
Cl (0.384, 0.406, 0.082)
Cl (0.594, 0.978, 0.675)
Cl (0.198, 0.675, 0.082)
Cl (0.802, 0.325, 0.918)
Cl (0.884, 0.582, 0.906)
Cl (0.918, 0.825, 0.802)
Cl (0.302, 0.884, 0.978)
Cl (0.978, 0.384, 0.302)
Cl (0.698, 0.116, 0.022)
Cl (0.418, 0.116, 0.594)
Cl (0.418, 0.302, 0.325)
Cl (0.082, 0.906, 0.384)
Cl (0.675, 0.198, 0.582)
Sr (0.375, 0.125, 0.750)
Sr (0.375, 0.250, 0.125)
Sr (0.500, 0.000, 0.500)
Sr (0.875, 0.625, 0.750)
Sr (0.000, 0.500, 0.500)
Sr (0.750, 0.125, 0.875)
Sr (0.500, 0.500, 0.000)
Sr (0.625, 0.875, 0.250)
Sr (0.250, 0.375, 0.625)
Sr (0.000, 0.000, 0.500)
Sr (0.125, 0.375, 0.250)
Sr (0.250, 0.875, 0.125)
Sr (0.875, 0.250, 0.625)
Sr (0.625, 0.750, 0.875)
Sr (0.000, 0.000, 0.000)
Sr (0.750, 0.625, 0.375)
Sr (0.000, 0.500, 0.000)
Sr (0.125, 0.750, 0.375)
Sr (0.500, 0.500, 0.500)
Sr (0.500, 0.000, 0.000)
Cs (0.625, 0.375, 0.750)
Cs (0.250, 0.125, 0.375)
Cs (0.375, 0.750, 0.625)
Cs (0.375, 0.625, 0.250)
Cs (0.875, 0.750, 0.125)
Cs (0.125, 0.250, 0.875)
Cs (0.750, 0.875, 0.625)
Cs (0.250, 0.625, 0.875)
Cs (0.875, 0.125, 0.250)
Cs (0.625, 0.250, 0.375)
Cs (0.125, 0.875, 0.750)
Cs (0.750, 0.375, 0.125)

=====

Be3ReSe | PBE-GGA | relaxed

Values from the calculation:
- E_form (uncorrected) (eV per atom) = 1.22
- calculated density (g/cm³) = 6.08
- V (Å³ per cell) = 80

a = 4.305 Å, b = 4.305 Å, c = 4.305 Å
α = 90.00°, β = 90.00°, γ = 90.00°
Sites, in units of the cell vectors:
Be (0.000, 0.500, 0.000)
Be (0.000, 0.000, 0.500)
Be (0.500, 0.000, 0.000)
Re (0.000, 0.000, 0.000)
Se (0.500, 0.500, 0.500)

=====

CaMg3C | PBE-GGA | relaxed

Values from the calculation:
- calculated density (g/cm³) = 2.03
- V (Å³ per cell) = 102
- energy of formation from the pure elements (eV per atom) = 0.368

a = 4.678 Å, b = 4.678 Å, c = 4.678 Å
α = 90.00°, β = 90.00°, γ = 90.00°
Sites, in units of the cell vectors:
Ca (0.500, 0.500, 0.500)
Mg (0.000, 0.500, 0.000)
Mg (0.000, 0.000, 0.500)
Mg (0.500, 0.000, 0.000)
C (0.000, 0.000, 0.000)

=====

PrZnHg2 | PBE-GGA | relaxed

Values from the calculation:
- calculated density (g/cm³) = 10.52
- V (Å³ per cell) = 96
- energy of formation from the pure elements (eV per atom) = -0.220

a = 3.615 Å, b = 3.615 Å, c = 7.339 Å
α = 90.00°, β = 90.00°, γ = 90.00°
Sites, in units of the cell vectors:
Pr (0.500, 0.500, 0.500)
Hg (0.000, 0.000, 0.215)
Hg (0.000, 0.000, 0.785)
Zn (0.500, 0.500, 0.000)

=====

YZr3 | PBE-GGA | relaxed

Values from the calculation:
- calculated density (g/cm³) = 5.96
- V (Å³ per cell) = 101
- energy of formation from the pure elements (eV per atom) = 0.092

a = 3.214 Å, b = 3.214 Å, c = 9.769 Å
α = 90.00°, β = 90.00°, γ = 89.93°
Sites, in units of the cell vectors:
Zr (0.500, 0.500, 0.273)
Zr (0.000, 0.000, 0.500)
Zr (0.500, 0.500, 0.727)
Y (0.000, 0.000, 0.000)

=====

Na2PuCl4 | PBE-GGA | relaxed

Values from the calculation:
- E_form (uncorrected) (eV per atom) = -1.75
- calculated density (g/cm³) = 3.55
- V (Å³ per cell) = 403

a = 7.753 Å, b = 8.430 Å, c = 8.430 Å
α = 59.73°, β = 62.62°, γ = 62.62°
Each line ends with the local moment (μB).
Sites, in units of the cell vectors:
Pu (0.000, 0.500, 0.000)  5.71
Pu (0.500, 0.500, 0.000)  5.71
Na (0.878, 0.872, 0.372)  0.00
Na (0.500, 0.000, 0.000)  0.00
Na (0.500, 0.500, 0.500)  0.00
Na (0.122, 0.128, 0.628)  0.00
Cl (0.735, 0.264, 0.267)  -0.02
Cl (0.735, 0.767, 0.764)  -0.02
Cl (0.762, 0.728, 0.228)  -0.01
Cl (0.265, 0.736, 0.733)  -0.02
Cl (0.238, 0.272, 0.772)  -0.01
Cl (0.265, 0.233, 0.236)  -0.02
Cl (0.719, 0.272, 0.772)  -0.01
Cl (0.281, 0.728, 0.228)  -0.01

=====

LaInW2 | PBE-GGA | relaxed

Values from the calculation:
- calculated density (g/cm³) = 12.12
- V (Å³ per cell) = 85
- energy of formation from the pure elements (eV per atom) = 0.896

a = 4.634 Å, b = 4.287 Å, c = 4.287 Å
α = 90.00°, β = 90.00°, γ = 90.00°
Sites, in units of the cell vectors:
W (0.000, 0.000, 0.000)
W (0.000, 0.500, 0.500)
La (0.500, 0.000, 0.500)
In (0.500, 0.500, 0.000)

=====

Ti3MoC3 | PBE-GGA | relaxed

Values from the calculation:
- calculated density (g/cm³) = 5.76
- V (Å³ per cell) = 159
- energy of formation from the pure elements (eV per atom) = -0.641

a = 4.334 Å, b = 6.055 Å, c = 6.055 Å
α = 88.58°, β = 90.00°, γ = 90.00°
Sites, in units of the cell vectors:
Mo (0.250, 0.609, 0.391)
Mo (0.750, 0.391, 0.609)
C (0.750, 0.132, 0.868)
C (0.750, 0.625, 0.874)
C (0.750, 0.126, 0.375)
C (0.250, 0.868, 0.132)
C (0.250, 0.874, 0.625)
C (0.250, 0.375, 0.126)
Ti (0.750, 0.367, 0.111)
Ti (0.250, 0.120, 0.880)
Ti (0.750, 0.889, 0.633)
Ti (0.250, 0.633, 0.889)
Ti (0.250, 0.111, 0.367)
Ti (0.750, 0.880, 0.120)

=====

P3BrO | PBE-GGA | relaxed

Values from the calculation:
- E_form (uncorrected) (eV per atom) = 2.14
- calculated density (g/cm³) = 2.81
- V (Å³ per cell) = 111

a = 4.813 Å, b = 4.813 Å, c = 4.813 Å
α = 90.00°, β = 90.00°, γ = 90.00°
Sites, in units of the cell vectors:
P (0.500, 0.000, 0.000)
P (0.000, 0.000, 0.500)
P (0.000, 0.500, 0.000)
Br (0.000, 0.000, 0.000)
O (0.500, 0.500, 0.500)

=====

La3CeY | PBE-GGA | relaxed

Values from the calculation:
- calculated density (g/cm³) = 6.31
- V (Å³ per cell) = 340
- energy of formation from the pure elements (eV per atom) = 0.045

a = 3.634 Å, b = 3.634 Å, c = 29.704 Å
α = 90.00°, β = 90.00°, γ = 120.00°
Sites, in units of the cell vectors:
Y (0.333, 0.667, 0.725)
Y (0.667, 0.333, 0.225)
La (0.333, 0.667, 0.431)
La (0.333, 0.667, 0.121)
La (0.000, 0.000, 0.323)
La (0.667, 0.333, 0.621)
La (0.000, 0.000, 0.823)
La (0.667, 0.333, 0.931)
Ce (0.000, 0.000, 0.526)
Ce (0.000, 0.000, 0.026)

=====

TbPuHg2O6 | PBE-GGA | relaxed

Values from the calculation:
- E_form (uncorrected) (eV per atom) = -1.92
- calculated density (g/cm³) = 9.87
- V (Å³ per cell) = 151

a = 5.837 Å, b = 5.837 Å, c = 6.140 Å
α = 61.62°, β = 61.62°, γ = 60.00°
Each line ends with the local moment (μB).
Sites, in units of the cell vectors:
O (0.439, 0.675, 0.806)  -0.06
O (0.957, 0.553, 0.297)  -0.06
O (0.553, 0.193, 0.297)  -0.06
O (0.079, 0.439, 0.806)  -0.06
O (0.193, 0.957, 0.297)  -0.06
O (0.675, 0.079, 0.806)  -0.06
Pu (0.316, 0.316, 0.052)  3.35
Tb (0.816, 0.816, 0.552)  -0.02
Hg (0.068, 0.068, 0.795)  0.01
Hg (0.564, 0.564, 0.308)  0.01

=====

Cu2RhSe | PBE-GGA | relaxed

Values from the calculation:
- E_form (uncorrected) (eV per atom) = 0.10
- calculated density (g/cm³) = 9.09
- V (Å³ per cell) = 56

a = 4.960 Å, b = 4.960 Å, c = 4.070 Å
α = 65.89°, β = 65.89°, γ = 38.69°
Sites, in units of the cell vectors:
Rh (0.250, 0.250, 0.250)
Cu (0.487, 0.487, 0.513)
Cu (0.013, 0.013, 0.987)
Se (0.750, 0.750, 0.750)

=====

CaPuAg2S4 | PBE-GGA | relaxed

Values from the calculation:
- E_form (uncorrected) (eV per atom) = -1.05
- calculated density (g/cm³) = 5.92
- V (Å³ per cell) = 176

a = 5.420 Å, b = 5.420 Å, c = 7.116 Å
α = 112.38°, β = 112.38°, γ = 90.00°
Each line ends with the local moment (μB).
Sites, in units of the cell vectors:
S (0.262, 0.262, 0.523)  -0.13
S (0.977, 0.477, 0.954)  -0.07
S (0.523, 0.023, 0.046)  -0.07
S (0.738, 0.738, 0.477)  -0.13
Ag (0.000, 0.000, 0.000)  -0.01
Ag (0.250, 0.750, 0.500)  -0.07
Pu (0.750, 0.250, 0.500)  4.71
Ca (0.500, 0.500, 0.000)  0.01